# SrSmNiO4 (PBE with a Hubbard U, optimized geometry)
data_SrSmNiO4
_cell_length_a 3.808
_cell_length_b 3.808
_cell_length_c 12.361
_cell_angle_alpha 90.00
_cell_angle_beta 90.00
_cell_angle_gamma 90.00
_space_group_name_H-M_alt 'I 4 m m'
_space_group_IT_number 107
_space_group_name_Hall 'I 4 -2'
loop_
_atom_site_label
_atom_site_fract_x
_atom_site_fract_y
_atom_site_fract_z
Sr1 0.000 0.000 0.000
Sm1 0.000 0.000 0.720
Ni1 0.000 0.000 0.361
O1 0.000 0.000 0.195
O2 0.000 0.000 0.532
O3 0.000 0.500 0.347
# Final energy ... -6.427 eV per atom
# Energy above the most stable polymorph in this dataset ... 0.0 kJ/mol of formula units
# Mass density ... 6.68 Mg/m³